Compound: Na3BiF6
Source: Alexandria
Functional: GGA-PBE
Structure: relaxed

Summary:
DFT total energy = -4.54 eV per atom
Total magnetization = 0.00 μB/cell
Raw formation energy = -2.629 eV per atom

Cell and atoms, written as CIF:
```
data_Na3BiF6
_cell_length_a 5.9474
_cell_length_b 6.0210
_cell_length_c 10.3948
_cell_angle_alpha 90.00
_cell_angle_beta 123.43
_cell_angle_gamma 90.00
_symmetry_space_group_name_H-M 'P 1 21/c 1'
_symmetry_Int_Tables_number 14
_symmetry_space_group_name_Hall '-P 2ybc'
loop_
_atom_site_label
_atom_site_fract_x
_atom_site_fract_y
_atom_site_fract_z
Na1 0.0000 0.0000 0.0000
Na2 0.2184 0.0472 0.7254
Bi1 0.5000 0.0000 0.5000
F1 0.1238 0.1756 0.4523
F2 0.2239 0.6951 0.4030
F3 0.4005 0.0957 0.2607
```